Entry 1:
BaZrS3 after structural relaxation, computed with PBE-GGA. Values from VASP.

```
&SYSTEM
  ibrav = 0, nat = 20, ntyp = 3
/
ATOMIC_SPECIES
Ba 137.33 Ba.upf
Zr 91.22 Zr.upf
S 32.06 S.upf
CELL_PARAMETERS angstrom
7.186 0.000 0.000
0.000 10.073 0.000
0.000 0.000 7.056
ATOMIC_POSITIONS crystal
Ba 0.051 0.250 0.012
Ba 0.449 0.750 0.512
Ba 0.551 0.250 0.488
Ba 0.949 0.750 0.988
Zr 0.000 0.000 0.500
Zr 0.000 0.500 0.500
Zr 0.500 0.000 0.000
Zr 0.500 0.500 0.000
S 0.006 0.750 0.436
S 0.211 0.534 0.790
S 0.211 0.966 0.790
S 0.289 0.034 0.290
S 0.289 0.466 0.290
S 0.494 0.250 0.936
S 0.506 0.750 0.064
S 0.711 0.534 0.710
S 0.711 0.966 0.710
S 0.789 0.034 0.210
S 0.789 0.466 0.210
S 0.994 0.250 0.564
```

Values from the calculation:
The value obtained for the total magnetization is 0.000 μB/atom. The calculation puts the uncorrected formation energy at -873 kJ/mol of formula units.

Entry 2:
LiYAu4 after structural relaxation, computed with PBE-GGA. Values from VASP.

```
&SYSTEM
  ibrav = 0, nat = 6, ntyp = 3
/
ATOMIC_SPECIES
Li 6.94 Li.upf
Y 88.91 Y.upf
Au 196.97 Au.upf
CELL_PARAMETERS angstrom
2.590 -4.455 0.000
2.590 4.455 0.000
-0.016 0.000 5.120
ATOMIC_POSITIONS crystal
Li 0.000 0.000 0.000
Y 0.500 0.500 0.500
Au 0.162 0.838 0.500
Au 0.329 0.671 0.000
Au 0.671 0.329 0.000
Au 0.838 0.162 0.500
```

Values from the calculation:
The value obtained for the total magnetization is 0.000 μB/atom. For the total energy, the calculation gives -0.1530 Ha/atom.